Compound: Nd2HfTh
Source: Alexandria via LeMat-Bulk
Functional: PBE
Structure: optimized geometry

Values from the calculation:
Space-group type = R-3m (166)
N(E_F) = 6.3 states/eV per cell
E_tot = -6.322 eV per atom
V = 123.68 Å³/f.u.
Spin magnetization = 0.0 μB/f.u.
Energy above the lowest structure with this stoichiometry = 207 meV per atom
Formation energy = 0.406 eV per atom

Structure (POSCAR):
```
Nd2HfTh
1.0
-2.119 -2.677 0.318
0.255 -2.654 -2.156
7.269 -7.130 6.909
Nd Hf Th
2 1 1
direct
0.086 0.086 0.742
0.914 0.914 0.258
0.000 0.000 0.000
0.500 0.500 0.500
```